{
  "formula": "Ca2CdCu5Pd2",
  "functional": "PBE",
  "state": "optimized geometry",
  "vol_a3_per_cell": 349.9,
  "space_group": "P4/mbm (127)",
  "dft_energy_ev_per_atom": -3.78,
  "lattice_angstrom": [[3.978, 0.000, 0.000], [0.000, 9.378, 0.000], [0.000, 0.000, 9.378]],
  "species": ["Cu", "Pd", "Ca", "Cu", "Cd", "Cu", "Cu", "Ca", "Cu", "Cu", "Pd", "Cd", "Ca", "Ca", "Cu", "Cu", "Pd", "Pd", "Cu", "Cu"],
  "fractional_positions": [[0.500, 0.297, 0.559], [0.000, 0.624, 0.876], [0.000, 0.826, 0.674], [0.500, 0.797, 0.941], [0.000, 0.000, 0.000], [0.500, 0.703, 0.441], [0.500, 0.559, 0.703], [0.000, 0.326, 0.826], [0.500, 0.000, 0.500], [0.500, 0.059, 0.797], [0.000, 0.124, 0.624], [0.000, 0.500, 0.500], [0.000, 0.674, 0.174], [0.000, 0.174, 0.326], [0.500, 0.941, 0.203], [0.500, 0.441, 0.297], [0.000, 0.876, 0.376], [0.000, 0.376, 0.124], [0.500, 0.500, 0.000], [0.500, 0.203, 0.059]]
}



{
  "formula": "Ca2CdCu2Pd5",
  "functional": "PBE",
  "state": "optimized geometry",
  "vol_a3_per_cell": 357.4,
  "space_group": "P4/mbm (127)",
  "dft_energy_ev_per_atom": -4.40,
  "lattice_angstrom": [[3.915, 0.000, 0.000], [0.000, 9.553, 0.000], [0.000, 0.000, 9.553]],
  "species": ["Cd", "Pd", "Pd", "Pd", "Pd", "Cu", "Ca", "Cu", "Cd", "Cu", "Pd", "Ca", "Pd", "Cu", "Pd", "Pd", "Ca", "Pd", "Pd", "Ca"],
  "fractional_positions": [[0.000, 0.500, 0.500], [0.500, 0.792, 0.932], [0.500, 0.000, 0.500], [0.500, 0.292, 0.568], [0.500, 0.708, 0.432], [0.000, 0.121, 0.621], [0.000, 0.824, 0.676], [0.000, 0.621, 0.879], [0.000, 0.000, 0.000], [0.000, 0.879, 0.379], [0.500, 0.932, 0.208], [0.000, 0.324, 0.824], [0.500, 0.432, 0.292], [0.000, 0.379, 0.121], [0.500, 0.500, 0.000], [0.500, 0.568, 0.708], [0.000, 0.176, 0.324], [0.500, 0.068, 0.792], [0.500, 0.208, 0.068], [0.000, 0.676, 0.176]]
}



{
  "formula": "CaPmCdCu",
  "functional": "PBE",
  "state": "optimized geometry",
  "vol_a3_per_cell": 101.5,
  "space_group": "F-43m (216)",
  "dft_energy_ev_per_atom": -3.13,
  "lattice_angstrom": [[5.236, 0.000, 0.000], [2.618, 4.535, 0.000], [2.618, 1.512, 4.275]],
  "species": ["Cd", "Cu", "Ca", "Pm"],
  "fractional_positions": [[0.750, 0.750, 0.750], [0.250, 0.250, 0.250], [0.000, 0.000, 0.000], [0.500, 0.500, 0.500]]
}